Entry from Alexandria: SrCeWO6 after structural relaxation (GGA+U).

Properties
Space-group type ... P-31c (163)
M_tot ... 0.000 μB per formula unit
Electronic total energy ... -7.71 eV/atom
Calculated volume ... 144.5 Å³/f.u.
DOS at the Fermi energy ... 0.000 states/eV/atom

a b c (Å): 5.693 5.693 10.298
angles (deg): 90.00 90.00 120.00
Fractional coordinates of all 18 atoms:
Sr 0.000 0.000 0.000
Sr 0.000 0.000 0.500
Ce 0.333 0.667 0.250
Ce 0.667 0.333 0.750
W 0.333 0.667 0.750
W 0.667 0.333 0.250
O 0.038 0.389 0.645
O 0.038 0.649 0.855
O 0.351 0.389 0.855
O 0.351 0.962 0.645
O 0.389 0.038 0.145
O 0.389 0.351 0.355
O 0.611 0.649 0.645
O 0.611 0.962 0.855
O 0.649 0.038 0.355
O 0.649 0.611 0.145
O 0.962 0.351 0.145
O 0.962 0.611 0.355